Ba4Nd2Cu6NiO15: optimized geometry, PBE with a Hubbard U.

Results
DFT total energy: -5.93 eV/atom

```
data_Ba4Nd2Cu6NiO15
_space_group_name_H-M_alt 'I m m 2'
_space_group_IT_number 44
_cell_length_a 3.905
_cell_length_b 3.940
_cell_length_c 49.937
_cell_angle_alpha 90.00
_cell_angle_beta 90.00
_cell_angle_gamma 90.00
loop_
_space_group_symop_operation_xyz
'x,y,z'
'-x,-y,z'
'-x,y,z'
'x,-y,z'
'x+1/2,y+1/2,z+1/2'
'-x+1/2,-y+1/2,z+1/2'
'-x+1/2,y+1/2,z+1/2'
'x+1/2,-y+1/2,z+1/2'
loop_
_atom_site_label
_atom_site_type_symbol
_atom_site_fract_x
_atom_site_fract_y
_atom_site_fract_z
_atom_site_occupancy
Ba1 Ba 0.000 0.000 0.000 1
Ba2 Ba 0.000 0.000 0.085 1
Ba3 Ba 0.000 0.000 0.237 1
Ba4 Ba 0.000 0.000 0.849 1
Nd1 Nd 0.000 0.000 0.161 1
Nd2 Nd 0.000 0.000 0.923 1
Cu1 Cu 0.000 0.000 0.305 1
Cu2 Cu 0.000 0.000 0.460 1
Cu3 Cu 0.000 0.000 0.543 1
Cu4 Cu 0.000 0.000 0.625 1
Cu5 Cu 0.000 0.000 0.698 1
Cu6 Cu 0.000 0.000 0.781 1
Ni1 Ni 0.000 0.000 0.386 1
O1 O 0.000 0.000 0.345 1
O2 O 0.000 0.000 0.505 1
O3 O 0.000 0.000 0.580 1
O4 O 0.000 0.000 0.741 1
O5 O 0.000 0.500 0.131 1
O6 O 0.000 0.500 0.192 1
O7 O 0.000 0.500 0.289 1
O8 O 0.000 0.500 0.393 1
O9 O 0.000 0.500 0.454 1
O10 O 0.000 0.500 0.543 1
O11 O 0.000 0.500 0.631 1
O12 O 0.000 0.500 0.693 1
O13 O 0.000 0.500 0.796 1
O14 O 0.000 0.500 0.894 1
O15 O 0.000 0.500 0.954 1
```